# Tm2ScAlS6

A relaxed Tm2ScAlS6 crystal (GGA-PBE, the Alexandria database).

a = 6.5659 Å, b = 6.5658 Å, c = 6.9330 Å
α = 61.75°, β = 61.75°, γ = 60.00°
Atoms (fractional coordinates):
Tm: 0.5206 0.5206 0.4383
Tm: 0.0207 0.0207 0.9379
Sc: 0.8194 0.8194 0.5418
Al: 0.3201 0.3201 0.0397
S: 0.5866 0.2060 0.2523
S: 0.2059 0.9552 0.2523
S: 0.9552 0.5865 0.2523
S: 0.4413 0.6905 0.7669
S: 0.6905 0.1013 0.7669
S: 0.1013 0.4413 0.7668

Calculated values
**D(E_F)**: 0.00 states/eV/cell
**Symmetry**: R3, No. 146
**Formation energy without anion corrections**: -1.716 eV/atom
**Magnetization**: 0.00 μB per atom